The following is a DFT calculation (PBE) of KTiSb2I after structural relaxation.

a b c (Å): 5.240 5.240 6.360
angles (deg): 90.00 90.00 90.00
Space group P4/mmm (No. 123)
Asymmetric unit:
K 0.000 0.000 0.000 (multiplicity 1)
Ti 0.500 0.500 0.500 (multiplicity 1)
Sb 0.000 0.500 0.500 (multiplicity 2)
I 0.500 0.500 0.000 (multiplicity 1)

Results
E   -4.132 eV/atom
E above lowest polymorph   0 meV/atom
Energy relative to the elements, uncorrected   -374 meV/atom